{"formula": "Mn3F8", "functional": "GGA+U", "state": "optimized geometry", "lattice": [[-5.338, -1.998, 2.989], [0.301, -0.712, -6.389], [3.586, -8.342, 1.012]], "species": ["F", "F", "F", "F", "F", "Mn", "F", "F", "Mn", "F", "F", "F", "F", "F", "F", "Mn", "F", "Mn", "F", "Mn", "Mn", "F"], "fractional_positions": [[0.170, 0.866, 0.336], [0.314, 0.686, 0.868], [0.503, 0.463, 0.155], [0.512, 0.051, 0.138], [0.881, 0.710, 0.857], [0.836, 0.664, 0.246], [0.164, 0.278, 0.357], [0.963, 0.446, 0.145], [0.836, 0.164, 0.251], [0.710, 0.881, 0.357], [0.463, 0.503, 0.655], [0.979, 0.013, 0.129], [0.051, 0.512, 0.638], [0.278, 0.164, 0.857], [0.013, 0.979, 0.629], [0.164, 0.337, 0.746], [0.686, 0.314, 0.368], [0.337, 0.164, 0.246], [0.446, 0.963, 0.645], [0.664, 0.836, 0.746], [0.164, 0.836, 0.751], [0.866, 0.170, 0.836]], "total_energy_ev_per_cell": -128.4, "magnetic_moment_mub_per_cell": 26.0}